Entry 1:
A relaxed Pr8AgRh2 crystal, computed with PBE.

Cell: 5.9200 8.1679 8.1679 Å, 116.07 99.09 99.09°
Closest atoms and distances in Å follow each position.
Sites, in units of the cell vectors:
Pr1 0.5000 0.2354 0.7646  2 Rh 3.05, 1 Ag 3.26
Pr2 0.5000 0.7646 0.2354  2 Rh 3.05, 1 Ag 3.26
Pr3 0.0700 0.0897 0.3380  2 Rh 2.87-2.90
Pr4 0.0700 0.3380 0.0897  2 Rh 2.87-2.90
Pr5 0.3173 0.6141 0.6141  1 Ag 3.19, 3 Pr 3.34-3.53, 2 Rh 3.48
Pr6 0.9300 0.6620 0.9103  2 Rh 2.87-2.90
Pr7 0.9300 0.9103 0.6620  2 Rh 2.87-2.90
Pr8 0.6827 0.3859 0.3859  1 Ag 3.19, 3 Pr 3.34-3.53, 2 Rh 3.48
Rh1 0.0000 0.2874 0.7126  6 Pr 2.87-3.05
Rh2 0.0000 0.7126 0.2874  6 Pr 2.87-3.05
Ag1 0.5000 0.0000 0.0000  4 Pr 3.19-3.26

* raw total energy: -5.289 eV/atom
* crystal system: monoclinic
* DFT formation energy: -0.22 eV/atom
* magnetic moment: 0.000 μB per cell

Entry 2:
A relaxed AlAuNO2 crystal, computed with PBE.

Cell: 3.6569 3.6569 4.0120 Å, 90.00 90.00 90.00°
Closest atoms and distances in Å follow each position.
Sites, in units of the cell vectors:
O1 0.0000 0.5000 0.0000  2 Al 1.83
O2 0.5000 0.0000 0.0000  2 Al 1.83
N1 0.0000 0.0000 0.5000  2 Al 2.01
Au1 0.5000 0.5000 0.5000  4 N 2.59, 8 O 2.71
Al1 0.0000 0.0000 0.0000  4 O 1.83, 2 N 2.01

* raw total energy: -5.251 eV/atom
* crystal system: tetragonal
* magnetic moment: 0.000 μB per cell

Entry 3:
A relaxed NiBiPCl2 crystal, computed with PBE.

Cell: 5.3092 5.3092 5.5262 Å, 90.00 90.00 90.00°
Closest atoms and distances in Å follow each position.
Sites, in units of the cell vectors:
Cl1 0.0000 0.5000 0.0000  2 Bi 2.65
Cl2 0.5000 0.0000 0.0000  2 Bi 2.65
Ni1 0.5000 0.5000 0.5000  4 P 3.75, 8 Cl 3.83
Bi1 0.0000 0.0000 0.0000  4 Cl 2.65, 2 P 2.76
P1 0.0000 0.0000 0.5000  2 Bi 2.76

* raw total energy: -3.050 eV/atom
* crystal system: tetragonal
* magnetic moment: 1.704 μB per cell

Entry 4:
A relaxed BaAlW2 crystal, computed with PBE.

Cell: 6.3486 6.3486 6.3486 Å, 154.52 129.84 57.09°
Closest atoms and distances in Å follow each position.
Sites, in units of the cell vectors:
Al1 0.2500 0.7500 0.5000  4 W 2.76, 2 Al 2.80, 4 Ba 3.03
Ba1 0.7500 0.2500 0.5000  2 Ba 2.80, 4 Al 3.03
W1 0.0372 0.0372 0.0000  2 Al 2.76, 2 W 2.80
W2 0.4628 0.4628 0.0000  2 Al 2.76, 2 W 2.80

* raw total energy: -6.836 eV/atom
* crystal system: orthorhombic
* DFT formation energy: 1.06 eV/atom
* magnetic moment: 0.000 μB per cell

Entry 5:
A relaxed TbNi4P3 crystal, computed with PBE.

Cell: 3.8381 3.8381 7.2628 Å, 90.00 90.00 90.00°
Closest atoms and distances in Å follow each position.
Sites, in units of the cell vectors:
P1 0.5000 0.5000 0.3413  4 Ni 2.26, 1 P 2.31
P2 0.0000 0.0000 0.0000  8 Ni 2.31
P3 0.5000 0.5000 0.6587  4 Ni 2.26, 1 P 2.31
Ni1 0.0000 0.5000 0.8233  4 P 2.26-2.31
Ni2 0.0000 0.5000 0.1767  4 P 2.26-2.31
Ni3 0.5000 0.0000 0.8233  4 P 2.26-2.31
Ni4 0.5000 0.0000 0.1767  4 P 2.26-2.31
Tb1 0.0000 0.0000 0.5000  8 P 2.95, 8 Ni 3.03

* raw total energy: -6.311 eV/atom
* crystal system: tetragonal
* DFT formation energy: -0.81 eV/atom
* magnetic moment: 0.000 μB per cell

Entry 6:
A relaxed TlAgSe4 crystal, computed with PBE.

Cell: 5.8928 5.8928 5.8928 Å, 60.00 60.00 60.00°
Closest atoms and distances in Å follow each position.
Sites, in units of the cell vectors:
Se1 0.3746 0.3746 0.3746  6 Se 2.94-2.96
Se2 0.3746 0.3746 0.8762  6 Se 2.94-2.96
Se3 0.3746 0.8762 0.3746  6 Se 2.94-2.96
Se4 0.8762 0.3746 0.3746  6 Se 2.94-2.96
Tl1 0.7500 0.7500 0.7500  12 Se 3.46, 4 Ag 3.61
Ag1 0.0000 0.0000 0.0000  12 Se 3.45, 4 Tl 3.61

* raw total energy: -2.879 eV/atom
* crystal system: cubic
* magnetic moment: 0.000 μB per cell

Entry 7:
A relaxed LiNbAs2O crystal, computed with PBE.

Cell: 5.1993 3.8782 5.1993 Å, 90.00 90.00 90.00°
Closest atoms and distances in Å follow each position.
Sites, in units of the cell vectors:
Nb1 0.0000 0.0000 0.0000  2 O 1.94
O1 0.0000 0.5000 0.0000  2 Nb 1.94
Li1 0.5000 0.5000 0.5000  8 As 3.24
As1 0.0000 0.0000 0.5000  2 Nb 2.60
As2 0.5000 0.0000 0.0000  2 Nb 2.60

* raw total energy: -5.832 eV/atom
* crystal system: tetragonal
* magnetic moment: 0.000 μB per cell

Entry 8:
A relaxed ZrTaIr4 crystal, computed with PBE.

Cell: 5.2075 5.2075 5.2075 Å, 60.00 60.00 60.00°
Closest atoms and distances in Å follow each position.
Sites, in units of the cell vectors:
Zr1 0.0000 0.0000 0.0000  12 Ir 3.05, 4 Ta 3.19
Ir1 0.8748 0.3751 0.3751  6 Ir 2.60-2.61
Ir2 0.3751 0.3751 0.8748  6 Ir 2.60-2.61
Ir3 0.3751 0.8748 0.3751  6 Ir 2.60-2.61
Ir4 0.3751 0.3751 0.3751  6 Ir 2.60-2.61
Ta1 0.7500 0.7500 0.7500  12 Ir 3.05, 4 Zr 3.19

* raw total energy: -9.730 eV/atom
* crystal system: cubic
* DFT formation energy: -0.42 eV/atom
* magnetic moment: 0.000 μB per cell

Entry 9:
A relaxed K2Mn3I8 crystal, computed with PBE.

Cell: 7.5337 8.5729 9.5512 Å, 116.67 105.19 90.00°
Closest atoms and distances in Å follow each position.
Sites, in units of the cell vectors:
I1 0.8982 0.0987 0.1973  3 Mn 2.98-3.01
I2 0.3906 0.3324 0.1931  2 Mn 2.88-2.93
I3 0.1018 0.9013 0.8027  3 Mn 2.98-3.01
I4 0.6094 0.6676 0.8069  2 Mn 2.88-2.93
I5 0.3906 0.8607 0.1931  2 Mn 2.88-2.93
I6 0.9446 0.6060 0.2120  2 Mn 2.86
I7 0.0554 0.3940 0.7880  2 Mn 2.86
I8 0.6094 0.1393 0.8069  2 Mn 2.88-2.93
K1 0.6681 0.7404 0.4808  6 I 3.52-3.60
K2 0.3319 0.2596 0.5192  6 I 3.52-3.60
Mn1 0.0000 0.7421 0.0000  6 I 2.86-3.01
Mn2 0.0000 0.2579 0.0000  6 I 2.86-3.01
Mn3 0.5000 0.0000 0.0000  6 I 2.88-2.98

* raw total energy: -3.970 eV/atom
* crystal system: monoclinic
* magnetic moment: 5.048 μB per cell

Entry 10:
A relaxed InCuP2Se6 crystal, computed with PBE.

Cell: 6.4506 6.4506 14.6821 Å, 90.00 90.00 120.00°
Closest atoms and distances in Å follow each position.
Sites, in units of the cell vectors:
In1 0.0000 0.0000 0.2500  6 Se 2.82
In2 0.0000 0.0000 0.7500  6 Se 2.82
P1 0.3333 0.6667 0.3272  3 Se 2.22, 1 P 2.27
P2 0.6667 0.3333 0.6728  3 Se 2.22, 1 P 2.27
P3 0.6667 0.3333 0.8272  3 Se 2.22, 1 P 2.27
P4 0.3333 0.6667 0.1728  3 Se 2.22, 1 P 2.27
Se1 0.9929 0.3430 0.3667  1 P 2.22
Se2 0.9929 0.6499 0.1333  1 P 2.22
Se3 0.3430 0.9929 0.8667  1 P 2.22
Se4 0.0071 0.6570 0.6333  1 P 2.22
Se5 0.6499 0.9929 0.6333  1 P 2.22
Se6 0.3501 0.3430 0.1333  1 P 2.22
Se7 0.0071 0.3501 0.8667  1 P 2.22
Se8 0.3430 0.3501 0.6333  1 P 2.22
Se9 0.6499 0.6570 0.8667  1 P 2.22
Se10 0.3501 0.0071 0.3667  1 P 2.22
Se11 0.6570 0.6499 0.3667  1 P 2.22
Se12 0.6570 0.0071 0.1333  1 P 2.22
Cu1 0.3333 0.6667 0.7500  6 Se 2.69
Cu2 0.6667 0.3333 0.2500  6 Se 2.69

* raw total energy: -4.059 eV/atom
* crystal system: trigonal
* magnetic moment: 0.000 μB per cell

Entry 11:
A relaxed NdInTe2 crystal, computed with PBE.

Cell: 3.9736 3.9736 7.8728 Å, 90.00 90.00 90.00°
Closest atoms and distances in Å follow each position.
Sites, in units of the cell vectors:
Te1 0.0000 0.0000 0.7722  4 Nd 3.33, 4 In 3.53, 1 Te 3.59
Te2 0.0000 0.0000 0.2278  4 Nd 3.33, 4 In 3.53, 1 Te 3.59
Nd1 0.5000 0.5000 0.0000  8 Te 3.33
In1 0.5000 0.5000 0.5000  8 Te 3.53, 2 Nd 3.94

* raw total energy: -4.302 eV/atom
* crystal system: tetragonal
* magnetic moment: 0.000 μB per cell

Entry 12:
A relaxed U6Al43Cr4 crystal, computed with PBE.

Cell: 10.9373 10.9373 17.2644 Å, 90.00 90.00 120.00°
Closest atoms and distances in Å follow each position.
Sites, in units of the cell vectors:
Al1 0.8529 0.0000 0.7500  2 Cr 2.50, 6 Al 2.79-2.80
Al2 0.3333 0.6667 0.1286  9 Al 2.69-2.80
Al3 0.8615 0.4070 0.7500  7 Al 2.62-2.80, 1 Cr 2.67
Al4 0.0000 0.8419 0.1148  2 Cr 2.60-2.63, 7 Al 2.68-2.87
Al5 0.6069 0.8369 0.8360  1 Cr 2.64, 6 Al 2.68-2.86
Al6 0.3333 0.6667 0.8714  9 Al 2.69-2.80
Al7 0.3333 0.6667 0.3714  9 Al 2.69-2.80
Al8 0.8369 0.6069 0.8360  1 Cr 2.64, 6 Al 2.68-2.86
Al9 0.8369 0.2300 0.1640  1 Cr 2.64, 6 Al 2.68-2.86
Al10 0.2461 0.7539 0.0000  8 Al 2.72-3.01, 2 U 3.01
Al11 0.1581 0.0000 0.8852  2 Cr 2.60-2.63, 7 Al 2.68-2.87
Al12 0.1631 0.3931 0.1640  1 Cr 2.64, 6 Al 2.68-2.86
Al13 0.8419 0.8419 0.8852  2 Cr 2.60-2.63, 7 Al 2.68-2.87
Al14 0.2461 0.4921 0.5000  8 Al 2.72-3.01, 2 U 3.01
Al15 0.1385 0.5930 0.2500  7 Al 2.62-2.80, 1 Cr 2.67
Al16 0.5079 0.7539 0.0000  8 Al 2.72-3.01, 2 U 3.01
Al17 0.5455 0.4070 0.2500  7 Al 2.62-2.80, 1 Cr 2.67
Al18 0.3931 0.2300 0.8360  1 Cr 2.64, 6 Al 2.68-2.86
Al19 0.2300 0.8369 0.1640  1 Cr 2.64, 6 Al 2.68-2.86
Al20 0.6069 0.7700 0.3360  1 Cr 2.64, 6 Al 2.68-2.86
Al21 0.6667 0.3333 0.1286  9 Al 2.69-2.80
Al22 0.8419 0.0000 0.3852  2 Cr 2.60-2.63, 7 Al 2.68-2.87
Al23 0.7539 0.2461 0.0000  8 Al 2.72-3.01, 2 U 3.01
Al24 0.0000 0.7495 0.5302  9 Al 2.70-2.93, 1 Cr 2.79
Al25 0.2300 0.8369 0.3360  1 Cr 2.64, 6 Al 2.68-2.86
Al26 0.0000 0.1581 0.8852  2 Cr 2.60-2.63, 7 Al 2.68-2.87
Al27 0.1631 0.7700 0.6640  1 Cr 2.64, 6 Al 2.68-2.86
Al28 0.6667 0.3333 0.6286  9 Al 2.69-2.80
Al29 0.2505 0.2505 0.5302  9 Al 2.70-2.93, 1 Cr 2.79
Al30 0.7539 0.2461 0.5000  8 Al 2.72-3.01, 2 U 3.01
Al31 0.8529 0.8529 0.2500  2 Cr 2.50, 6 Al 2.79-2.80
Al32 0.2300 0.3931 0.6640  1 Cr 2.64, 6 Al 2.68-2.86
Al33 0.7700 0.1631 0.8360  1 Cr 2.64, 6 Al 2.68-2.86
Al34 0.4545 0.5930 0.7500  7 Al 2.62-2.80, 1 Cr 2.67
Al35 0.0000 0.1581 0.6148  2 Cr 2.60-2.63, 7 Al 2.68-2.87
Al36 0.6069 0.8369 0.6640  1 Cr 2.64, 6 Al 2.68-2.86
Al37 0.7700 0.1631 0.6640  1 Cr 2.64, 6 Al 2.68-2.86
Al38 0.4921 0.2461 0.5000  8 Al 2.72-3.01, 2 U 3.01
Al39 0.0000 0.2505 0.0302  9 Al 2.70-2.93, 1 Cr 2.79
Al40 0.2461 0.7539 0.5000  8 Al 2.72-3.01, 2 U 3.01
Al41 0.1631 0.7700 0.8360  1 Cr 2.64, 6 Al 2.68-2.86
Al42 0.2505 0.2505 0.9698  9 Al 2.70-2.93, 1 Cr 2.79
Al43 0.1631 0.3931 0.3360  1 Cr 2.64, 6 Al 2.68-2.86
Al44 0.5930 0.4545 0.7500  7 Al 2.62-2.80, 1 Cr 2.67
Al45 0.6667 0.3333 0.8714  9 Al 2.69-2.80
Al46 0.7495 0.0000 0.5302  9 Al 2.70-2.93, 1 Cr 2.79
Al47 0.4921 0.2461 0.0000  8 Al 2.72-3.01, 2 U 3.01
Al48 0.8369 0.6069 0.6640  1 Cr 2.64, 6 Al 2.68-2.86
Al49 0.4070 0.8615 0.7500  7 Al 2.62-2.80, 1 Cr 2.67
Al50 0.8419 0.0000 0.1148  2 Cr 2.60-2.63, 7 Al 2.68-2.87
Al51 0.1581 0.1581 0.1148  2 Cr 2.60-2.63, 7 Al 2.68-2.87
Al52 0.7495 0.7495 0.4698  9 Al 2.70-2.93, 1 Cr 2.79
Al53 0.3931 0.2300 0.6640  1 Cr 2.64, 6 Al 2.68-2.86
Al54 0.3333 0.6667 0.6286  9 Al 2.69-2.80
Al55 0.0000 0.2505 0.4698  9 Al 2.70-2.93, 1 Cr 2.79
Al56 0.2461 0.4921 0.0000  8 Al 2.72-3.01, 2 U 3.01
Al57 0.1471 0.0000 0.2500  2 Cr 2.50, 6 Al 2.79-2.80
Al58 0.1385 0.5455 0.7500  7 Al 2.62-2.80, 1 Cr 2.67
Al59 0.2505 0.0000 0.4698  9 Al 2.70-2.93, 1 Cr 2.79
Al60 0.7539 0.5079 0.5000  8 Al 2.72-3.01, 2 U 3.01
Al61 0.0000 0.8419 0.3852  2 Cr 2.60-2.63, 7 Al 2.68-2.87
Al62 0.3931 0.1631 0.1640  1 Cr 2.64, 6 Al 2.68-2.86
Al63 0.7495 0.0000 0.9698  9 Al 2.70-2.93, 1 Cr 2.79
Al64 0.5455 0.1385 0.7500  7 Al 2.62-2.80, 1 Cr 2.67
Al65 0.6069 0.7700 0.1640  1 Cr 2.64, 6 Al 2.68-2.86
Al66 0.7700 0.6069 0.3360  1 Cr 2.64, 6 Al 2.68-2.86
Al67 0.8369 0.2300 0.3360  1 Cr 2.64, 6 Al 2.68-2.86
Al68 0.6667 0.3333 0.3714  9 Al 2.69-2.80
Al69 0.7495 0.7495 0.0302  9 Al 2.70-2.93, 1 Cr 2.79
Al70 0.1471 0.1471 0.7500  2 Cr 2.50, 6 Al 2.79-2.80
Al71 0.8615 0.4545 0.2500  7 Al 2.62-2.80, 1 Cr 2.67
Al72 0.4545 0.8615 0.2500  7 Al 2.62-2.80, 1 Cr 2.67
Al73 0.2300 0.3931 0.8360  1 Cr 2.64, 6 Al 2.68-2.86
Al74 0.1581 0.0000 0.6148  2 Cr 2.60-2.63, 7 Al 2.68-2.87
Al75 0.0000 0.7495 0.9698  9 Al 2.70-2.93, 1 Cr 2.79
Al76 0.3931 0.1631 0.3360  1 Cr 2.64, 6 Al 2.68-2.86
Al77 0.5079 0.7539 0.5000  8 Al 2.72-3.01, 2 U 3.01
Al78 0.0000 0.8529 0.7500  2 Cr 2.50, 6 Al 2.79-2.80
Al79 0.7700 0.6069 0.1640  1 Cr 2.64, 6 Al 2.68-2.86
Al80 0.1581 0.1581 0.3852  2 Cr 2.60-2.63, 7 Al 2.68-2.87
Al81 0.0000 0.1471 0.2500  2 Cr 2.50, 6 Al 2.79-2.80
Al82 0.7539 0.5079 0.0000  8 Al 2.72-3.01, 2 U 3.01
Al83 0.5930 0.1385 0.2500  7 Al 2.62-2.80, 1 Cr 2.67
Al84 0.2505 0.0000 0.0302  9 Al 2.70-2.93, 1 Cr 2.79
Al85 0.4070 0.5455 0.2500  7 Al 2.62-2.80, 1 Cr 2.67
Al86 0.8419 0.8419 0.6148  2 Cr 2.60-2.63, 7 Al 2.68-2.87
Cr1 0.7365 0.7365 0.7500  10 Al 2.50-2.67
Cr2 0.0000 0.0000 0.0000  12 Al 2.63-2.79
Cr3 0.2635 0.2635 0.2500  10 Al 2.50-2.67
Cr4 0.7365 0.0000 0.2500  10 Al 2.50-2.67
Cr5 0.2635 0.0000 0.7500  10 Al 2.50-2.67
Cr6 0.0000 0.0000 0.5000  12 Al 2.63-2.79
Cr7 0.0000 0.7365 0.2500  10 Al 2.50-2.67
Cr8 0.0000 0.2635 0.7500  10 Al 2.50-2.67
U1 0.0000 0.5215 0.4140  1 U 3.01, 12 Al 3.01-3.25
U2 0.0000 0.5215 0.0860  1 U 3.01, 12 Al 3.01-3.25
U3 0.0000 0.4785 0.5860  1 U 3.01, 12 Al 3.01-3.25
U4 0.5215 0.0000 0.0860  1 U 3.01, 12 Al 3.01-3.25
U5 0.4785 0.0000 0.5860  1 U 3.01, 12 Al 3.01-3.25
U6 0.4785 0.4785 0.4140  1 U 3.01, 12 Al 3.01-3.25
U7 0.4785 0.0000 0.9140  1 U 3.01, 12 Al 3.01-3.25
U8 0.0000 0.4785 0.9140  1 U 3.01, 12 Al 3.01-3.25
U9 0.5215 0.5215 0.9140  1 U 3.01, 12 Al 3.01-3.25
U10 0.5215 0.5215 0.5860  1 U 3.01, 12 Al 3.01-3.25
U11 0.5215 0.0000 0.4140  1 U 3.01, 12 Al 3.01-3.25
U12 0.4785 0.4785 0.0860  1 U 3.01, 12 Al 3.01-3.25

* raw total energy: -5.197 eV/atom
* crystal system: hexagonal
* DFT formation energy: -0.16 eV/atom
* magnetic moment: 29.618 μB per cell

Question: Look up the raw total energy of the tenth one.
Answer: -4.059 eV/atom

Question: Among the records above, which one has the lowest raw total energy?
Answer: ZrTaIr4